The following is a DFT calculation (PBE) of an optimized crystal structure of Ce12SnGe6.

Unit cell a=11.5832 b=11.5832 c=12.4709 alpha=90.00 beta=90.00 gamma=120.00
Last column: nearest neighbours and their distance in Å.
Space group R-3 (No. 148, hexagonal axes)
One atom of each set of equivalent atoms:
1 Ce 0.0544 0.8490 0.3251  2 Ce 2.81-2.91, 1 Sn 3.05
2 Ce 0.0624 0.2268 0.8878  2 Ce 2.79-2.91, 4 Ge 3.00-3.13
3 Sn 0.0000 0.0000 0.5000  6 Ce 3.05
4 Ge 0.0066 0.5758 0.2241  9 Ce 3.00-3.33

magnetization	0.4248	μB per atom
formation energy	-38.8	kJ per mole of atoms